# 1
Cu3TcN | SCAN | PBEsol geometry

Output
The value obtained for the formation energy from raw total energies is 0.70 eV/atom. For the energy relative to the lowest polymorph listed for this composition, the calculation gives 0.00 eV/f.u. As for the crystal system: cubic.

The structure in CIF format:
```
data_Cu3TcN
_cell_length_a 3.8131
_cell_length_b 3.8131
_cell_length_c 3.8131
_cell_angle_alpha 90.00
_cell_angle_beta 90.00
_cell_angle_gamma 90.00
_symmetry_space_group_name_H-M 'P m -3 m'
_symmetry_Int_Tables_number 221
_symmetry_space_group_name_Hall '-P 4 2 3'
loop_
_atom_site_label
_atom_site_type_symbol
_atom_site_fract_x
_atom_site_fract_y
_atom_site_fract_z
_atom_site_occupancy
Cu1 Cu 0.0000 0.0000 0.5000 1
Tc1 Tc 0.5000 0.5000 0.5000 1
N1 N 0.0000 0.0000 0.0000 1
```

# 2
TaIr2 | SCAN | PBEsol geometry

Output
The calculation puts the formation energy at -77.3 kJ per mole of atoms. As for the crystal system: tetragonal.

The structure in CIF format:
```
data_TaIr2
_cell_length_a 3.8774
_cell_length_b 3.8774
_cell_length_c 23.9800
_cell_angle_alpha 90.00
_cell_angle_beta 90.00
_cell_angle_gamma 90.00
_symmetry_space_group_name_H-M 'I 41/a m d'
_symmetry_Int_Tables_number 141
loop_
_symmetry_equiv_pos_as_xyz
'x,y,z'
'-x,-y,-z'
'-y+1/4,x+3/4,z+1/4'
'y+1/4,-x+3/4,-z+1/4'
'-x+1/2,-y,z+1/2'
'x+1/2,y,-z+1/2'
'y+1/4,-x+1/4,z+3/4'
'-y+1/4,x+1/4,-z+3/4'
'x,-y,-z'
'-x,y,z'
'-y+1/4,-x+1/4,-z+3/4'
'y+1/4,x+1/4,z+3/4'
'-x+1/2,y,-z+1/2'
'x+1/2,-y,z+1/2'
'y+1/4,x+3/4,-z+1/4'
'-y+1/4,-x+3/4,z+1/4'
'x+1/2,y+1/2,z+1/2'
'-x+1/2,-y+1/2,-z+1/2'
'-y+3/4,x+1/4,z+3/4'
'y+3/4,-x+1/4,-z+3/4'
'-x,-y+1/2,z'
'x,y+1/2,-z'
'y+3/4,-x+3/4,z+1/4'
'-y+3/4,x+3/4,-z+1/4'
'x+1/2,-y+1/2,-z+1/2'
'-x+1/2,y+1/2,z+1/2'
'-y+3/4,-x+3/4,-z+1/4'
'y+3/4,x+3/4,z+1/4'
'-x,y+1/2,-z'
'x,-y+1/2,z'
'y+3/4,x+1/4,-z+3/4'
'-y+3/4,-x+1/4,z+3/4'
loop_
_atom_site_label
_atom_site_type_symbol
_atom_site_fract_x
_atom_site_fract_y
_atom_site_fract_z
_atom_site_occupancy
Ta1 Ta 0.0000 0.2500 0.2966 1
Ir1 Ir 0.0000 0.2500 0.1254 1
Ir2 Ir 0.0000 0.2500 0.7922 1
```

# 3
CoSb2TeI | SCAN | PBEsol geometry

Output
The value obtained for the formation energy from raw total energies is 1.61 eV/atom. As for the crystal system: tetragonal.

The structure in CIF format:
```
data_CoSb2TeI
_cell_length_a 5.6888
_cell_length_b 5.6888
_cell_length_c 5.6631
_cell_angle_alpha 90.00
_cell_angle_beta 90.00
_cell_angle_gamma 90.00
_symmetry_space_group_name_H-M 'P 4/m m m'
_symmetry_Int_Tables_number 123
_symmetry_space_group_name_Hall '-P 4 2'
loop_
_atom_site_label
_atom_site_type_symbol
_atom_site_fract_x
_atom_site_fract_y
_atom_site_fract_z
_atom_site_occupancy
Co1 Co 0.0000 0.0000 0.0000 1
Sb1 Sb 0.0000 0.5000 0.5000 1
Te1 Te 0.5000 0.5000 0.0000 1
I1 I 0.5000 0.5000 0.5000 1
```

| no. | DFT total energy (eV/atom) | volume (Å³/f.u.) |
| --- | --- | --- |
| 1 | -17.2856 | 55.4 |
| 2 | -70.3950 | 45.1 |
| 3 | -31.5567 | 183.3 |